Entry 1:
Material: Ti2Bi2Pt
Method: DFT, PBE
State: optimized geometry

Calculated values
Calculated formation energy (eV per atom): -0.11
Energy (eV per cell): -60.3
Crystal system: tetragonal
Fermi-level density of states (states/eV per cell): 4.90
Theoretical density (g/cm³): 11.06

Cell: 7.040 7.040 4.295 Å, 90.00 90.00 90.00°
Sites, in units of the cell vectors:
Bi1 0.170 0.670 0.500
Bi2 0.670 0.830 0.500
Bi3 0.830 0.330 0.500
Bi4 0.330 0.170 0.500
Pt1 0.000 0.000 0.000
Pt2 0.500 0.500 0.000
Ti1 0.358 0.858 0.000
Ti2 0.858 0.642 0.000
Ti3 0.642 0.142 0.000
Ti4 0.142 0.358 0.000

Entry 2:
Material: CdAsPH
Method: DFT, PBE
State: optimized geometry

Calculated values
Energy (eV per cell): -27.6
Crystal system: monoclinic
Fermi-level density of states (states/eV per cell): 1.03
Theoretical density (g/cm³): 4.48
Relative energy among the computed polymorphs (meV/atom): 69

Cell: 7.085 2.825 9.047 Å, 90.00 116.06 90.00°
Sites, in units of the cell vectors:
Cd1 0.313 0.000 0.053
Cd2 0.313 0.500 0.553
As1 0.527 0.000 0.855
As2 0.527 0.500 0.355
P1 0.888 0.000 0.897
P2 0.888 0.500 0.397
H1 0.850 0.000 0.728
H2 0.850 0.500 0.228

Entry 3:
Material: K3Sm3SiS8
Method: DFT, PBE
State: optimized geometry

Calculated values
Energy (eV per cell): -78.5
Crystal system: trigonal
Theoretical density (g/cm³): 3.41

Cell: 7.992 7.992 8.818 Å, 116.95 90.00 120.00°
Sites, in units of the cell vectors:
K1 0.000 0.000 0.000
K2 0.000 0.500 0.000
K3 0.500 0.500 0.000
Sm1 0.500 0.000 0.500
Sm2 0.500 0.500 0.500
Sm3 0.000 0.500 0.500
Si1 0.000 0.000 0.500
S1 0.265 0.529 0.294
S2 0.735 0.471 0.706
S3 0.796 0.592 0.318
S4 0.204 0.408 0.682
S5 0.796 0.022 0.317
S6 0.204 0.978 0.683
S7 0.226 0.022 0.317
S8 0.774 0.978 0.683

Entry 4:
Material: CaNd2ReN4
Method: DFT, PBE
State: optimized geometry

Calculated values
Energy (eV per cell): -126.8
Crystal system: orthorhombic
Fermi-level density of states (states/eV per cell): 9.31
Theoretical density (g/cm³): 7.19

Cell: 3.542 6.417 12.070 Å, 90.00 90.00 106.02°
Sites, in units of the cell vectors:
Ca1 0.125 0.251 0.750
Ca2 0.875 0.749 0.250
Nd1 0.369 0.738 0.534
Nd2 0.631 0.262 0.034
Nd3 0.631 0.262 0.466
Nd4 0.369 0.738 0.966
Re1 0.848 0.696 0.750
Re2 0.152 0.304 0.250
N1 0.261 0.522 0.133
N2 0.739 0.478 0.633
N3 0.739 0.478 0.867
N4 0.261 0.522 0.367
N5 0.000 0.000 0.500
N6 0.000 0.000 0.000
N7 0.418 0.836 0.750
N8 0.582 0.164 0.250

Question: What is the formula in the third record?
Answer: K3Sm3SiS8